A relaxed Sc2AlGe2Rh5 crystal, computed with PBE-GGA.

Unit cell a=3.5062 b=9.5137 c=9.5137 alpha=90.00 beta=90.00 gamma=90.00
Last column: nearest neighbours and their distance in Å.
Atoms (fractional coordinates):
Sc (0.0000, 0.6719, 0.1719)  3 Ge 2.69-2.88, 2 Rh 2.90
Sc (0.0000, 0.3281, 0.8281)  3 Ge 2.69-2.88, 2 Rh 2.90
Sc (0.0000, 0.1719, 0.3281)  3 Ge 2.69-2.88, 2 Rh 2.90
Sc (0.0000, 0.8281, 0.6719)  3 Ge 2.69-2.88, 2 Rh 2.90
Al (0.0000, 0.0000, 0.0000)  8 Rh 2.68
Al (0.0000, 0.5000, 0.5000)  8 Rh 2.68
Ge (0.0000, 0.1278, 0.6278)  6 Rh 2.45-2.46, 1 Sc 2.69
Ge (0.0000, 0.8722, 0.3722)  6 Rh 2.45-2.46, 1 Sc 2.69
Ge (0.0000, 0.6278, 0.8722)  6 Rh 2.45-2.46, 1 Sc 2.69
Ge (0.0000, 0.3722, 0.1278)  6 Rh 2.45-2.46, 1 Sc 2.69
Rh (0.5000, 0.2022, 0.0686)  2 Ge 2.45, 2 Al 2.68
Rh (0.5000, 0.7978, 0.9314)  2 Ge 2.45, 2 Al 2.68
Rh (0.5000, 0.0686, 0.7978)  2 Ge 2.45, 2 Al 2.68
Rh (0.5000, 0.7022, 0.4314)  2 Ge 2.45, 2 Al 2.68
Rh (0.5000, 0.9314, 0.2022)  2 Ge 2.45, 2 Al 2.68
Rh (0.5000, 0.2978, 0.5686)  2 Ge 2.45, 2 Al 2.68
Rh (0.5000, 0.5686, 0.7022)  2 Ge 2.45, 2 Al 2.68
Rh (0.5000, 0.4314, 0.2978)  2 Ge 2.45, 2 Al 2.68
Rh (0.5000, 0.5000, 0.0000)  4 Ge 2.46
Rh (0.5000, 0.0000, 0.5000)  4 Ge 2.46

Values from the calculation:
- Density of states at the Fermi level: 0.3658 states/eV per atom
- Space-group type: P4/mbm
- Raw total energy: -141.5 eV per cell


A relaxed AlSi2Ge2Rh5 crystal, computed with PBE-GGA.

Unit cell a=2.8342 b=10.2573 c=10.2573 alpha=90.00 beta=90.00 gamma=90.00
Last column: nearest neighbours and their distance in Å.
Atoms (fractional coordinates):
Al (0.0000, 0.0000, 0.0000)  8 Rh 2.60, 2 Al 2.83
Al (0.0000, 0.5000, 0.5000)  8 Rh 2.60, 2 Al 2.83
Si (0.0000, 0.1454, 0.6454)  6 Rh 2.45-2.54
Si (0.0000, 0.8546, 0.3546)  6 Rh 2.45-2.54
Si (0.0000, 0.6454, 0.8546)  6 Rh 2.45-2.54
Si (0.0000, 0.3546, 0.1454)  6 Rh 2.45-2.54
Ge (0.0000, 0.6529, 0.1529)  6 Rh 2.55-2.63, 2 Ge 2.83
Ge (0.0000, 0.3471, 0.8471)  6 Rh 2.55-2.63, 2 Ge 2.83
Ge (0.0000, 0.1529, 0.3471)  6 Rh 2.55-2.63, 2 Ge 2.83
Ge (0.0000, 0.8471, 0.6529)  6 Rh 2.55-2.63, 2 Ge 2.83
Rh (0.5000, 0.1596, 0.1401)  2 Si 2.45, 2 Ge 2.55, 2 Al 2.60
Rh (0.5000, 0.8404, 0.8599)  2 Si 2.45, 2 Ge 2.55, 2 Al 2.60
Rh (0.5000, 0.1401, 0.8404)  2 Si 2.45, 2 Ge 2.55, 2 Al 2.60
Rh (0.5000, 0.6596, 0.3599)  2 Si 2.45, 2 Ge 2.55, 2 Al 2.60
Rh (0.5000, 0.8599, 0.1596)  2 Si 2.45, 2 Ge 2.55, 2 Al 2.60
Rh (0.5000, 0.3404, 0.6401)  2 Si 2.45, 2 Ge 2.55, 2 Al 2.60
Rh (0.5000, 0.6401, 0.6596)  2 Si 2.45, 2 Ge 2.55, 2 Al 2.60
Rh (0.5000, 0.3599, 0.3404)  2 Si 2.45, 2 Ge 2.55, 2 Al 2.60
Rh (0.5000, 0.5000, 0.0000)  4 Si 2.54, 4 Ge 2.63, 2 Rh 2.83
Rh (0.5000, 0.0000, 0.5000)  4 Si 2.54, 4 Ge 2.63, 2 Rh 2.83

Values from the calculation:
- Density of states at the Fermi level: 0.4031 states/eV per atom
- Space-group type: P4/mbm
- Energy relative to the elements, uncorrected: -0.52 eV/atom
- Raw total energy: -131.6 eV per cell